Record 1
A relaxed LaPm9Tm2 crystal, computed with PBE.

The structure belongs to space group P4/mmm (No. 123); the cell edges are 5.133, 5.133 and 15.436 Å and the angles 90.00°, 90.00° and 90.00°. The distinct sites, in fractional coordinates, are La at (0.000, 0.000, 0.000), Pm at (0.000, 0.500, 0.171), Pm at (0.000, 0.500, 0.500), Pm at (0.500, 0.500, 0.000), Pm at (0.500, 0.500, 0.337) and Tm at (0.000, 0.000, 0.335).

The formation energy is 0.020 eV per atom.


Record 2
A relaxed YTa2H2 crystal, computed with PBE.

The structure belongs to space group I4/mmm (No. 139); the cell edges are 3.896, 3.896 and 10.816 Å and the angles 90.00°, 90.00° and 90.00°. The distinct sites, in fractional coordinates, are Y at (0.000, 0.000, 0.000), Ta at (0.000, 0.500, 0.250) and H at (0.000, 0.000, 0.319).

The value obtained for the final energy is -71.3 eV/cell.


Record 3
A relaxed AgPIO2 crystal, computed with PBE.

The structure belongs to space group P4/mmm (No. 123); the cell edges are 3.957, 3.957 and 5.643 Å and the angles 90.00°, 90.00° and 90.00°. The distinct sites, in fractional coordinates, are Ag at (0.000, 0.000, 0.000), P at (0.500, 0.500, 0.000), I at (0.500, 0.500, 0.500) and O at (0.000, 0.500, 0.500).

The calculation puts the formation energy from raw total energies at 302 meV per atom.


Record 4
A relaxed CsYSn2Br8 crystal, computed with PBE.

The structure belongs to space group P-1 (No. 2); the cell edges are 6.871, 7.363 and 9.874 Å and the angles 83.28°, 85.93° and 86.33°. The distinct sites, in fractional coordinates, are Cs at (0.000, 0.000, 0.000), Y at (0.000, 0.000, 0.500), Sn at (0.475, 0.479, 0.254), Br at (0.224, 0.320, 0.469), Br at (0.243, 0.842, 0.301), Br at (0.253, 0.855, 0.704) and Br at (0.262, 0.394, 0.054).

The calculation puts the formation energy from raw total energies at -1280 meV per atom.


Record 5
A relaxed Tb12MgIn6 crystal, computed with PBE.

The structure belongs to space group R-3 (No. 148, hexagonal axes); the cell edges are 14.3295, 14.3295 and 9.8237 Å and the angles 90.00°, 90.00° and 120.00°. The distinct sites, in fractional coordinates, are Tb at (0.0536, 0.2478, 0.4152), Tb at (0.0549, 0.2025, 0.7723), Mg at (0.0000, 0.0000, 0.5000) and In at (0.0629, 0.2433, 0.0864).

The formation energy is -0.100 eV per atom.


Record 6
A relaxed K2CdS crystal, computed with PBE.

The structure belongs to space group Fm-3m (No. 225); the cell edges are 7.919, 7.919 and 7.919 Å and the angles 90.00°, 90.00° and 90.00°. The distinct sites, in fractional coordinates, are K at (0.250, 0.250, 0.250), Cd at (0.000, 0.000, 0.000) and S at (0.000, 0.000, 0.500).

The calculation puts the formation energy from raw total energies at -553 meV per atom.


Record 7
A relaxed Li3Cd2PdO6 crystal, computed with PBE.

The structure belongs to space group C2/m (No. 12); the cell edges are 5.538, 9.937 and 5.202 Å and the angles 90.00°, 108.82° and 90.00°. The distinct sites, in fractional coordinates, are Li at (0.000, 0.000, 0.000), Li at (0.000, 0.365, 0.000), Cd at (0.000, 0.171, 0.500), Pd at (0.000, 0.500, 0.500), O at (0.219, 0.356, 0.745) and O at (0.229, 0.500, 0.264).

The calculation puts the formation energy from raw total energies at -1147 meV per atom.


Record 8
A relaxed PuGa9Co2 crystal, computed with PBE.

The structure belongs to space group I4_1/amd (No. 141, origin choice 2); the cell edges are 10.683, 10.683 and 6.781 Å and the angles 90.00°, 90.00° and 90.00°. The distinct sites, in fractional coordinates, are Pu at (0.000, 0.250, 0.375), Ga at (0.000, 0.250, 0.875), Ga at (0.120, 0.057, 0.681) and Co at (0.000, 0.000, 0.000).

The formation energy is -0.167 eV per atom.


Record 9
A relaxed Pu2I4Cl crystal, computed with PBE.

The structure belongs to space group C2/m (No. 12); the cell edges are 11.038, 4.437 and 13.679 Å and the angles 90.00°, 108.26° and 90.00°. The distinct sites, in fractional coordinates, are Pu at (0.098, 0.000, 0.209), I at (0.090, 0.500, 0.368), I at (0.213, 0.000, 0.836) and Cl at (0.000, 0.000, 0.000).

The calculation puts the formation energy from raw total energies at -1170 meV per atom.


Record 10
A relaxed YHo2Au3 crystal, computed with PBE.

The structure belongs to space group P4/mmm (No. 123); the cell edges are 3.572, 3.572 and 10.881 Å and the angles 90.00°, 90.00° and 90.00°. The distinct sites, in fractional coordinates, are Y at (0.000, 0.000, 0.000), Ho at (0.000, 0.000, 0.334), Au at (0.500, 0.500, 0.170) and Au at (0.500, 0.500, 0.500).

The formation energy is -0.872 eV per atom.


Record 11
A relaxed KSb3Cl crystal, computed with PBE.

The structure belongs to space group Pm-3m (No. 221); the cell edges are 5.976, 5.976 and 5.976 Å and the angles 90.00°, 90.00° and 90.00°. The distinct sites, in fractional coordinates, are K at (0.000, 0.000, 0.000), Sb at (0.000, 0.000, 0.500) and Cl at (0.500, 0.500, 0.500).

The calculation puts the formation energy from raw total energies at 1205 meV per atom.


Record 12
A relaxed USiTc crystal, computed with PBE.

The structure belongs to space group R3m (No. 160, hexagonal axes); the cell edges are 2.9184, 2.9184 and 21.4654 Å and the angles 90.00°, 90.00° and 120.00°. The distinct sites, in fractional coordinates, are U at (0.0000, 0.0000, 0.0000), Si at (0.0000, 0.0000, 0.7790) and Tc at (0.0000, 0.0000, 0.8907).

The calculation puts the formation energy from raw total energies at 423 meV per atom.